Li5Mn2Co3O10: relaxed, PBE+U.

a = 5.1260 Å, b = 5.1294 Å, c = 7.7292 Å
α = 108.98°, β = 102.39°, γ = 99.81°
Fractional coordinates of all 20 atoms:
Li 0.0000 0.0000 0.0000
Li 0.0016 0.4237 0.8081
Li 0.0124 0.2113 0.4231
Li 0.0154 0.8086 0.6225
Li 0.5041 0.6131 0.7180
Mn 0.5042 0.2028 0.9103
Mn 0.5086 0.0152 0.5194
Co 0.0084 0.6094 0.2123
Co 0.5087 0.4189 0.3206
Co 0.5087 0.8064 0.1092
O 0.2731 0.6335 0.4600
O 0.2741 0.8389 0.8717
O 0.2748 0.0133 0.2837
O 0.2802 0.3918 0.0677
O 0.2867 0.1999 0.6716
O 0.7286 0.0259 0.7578
O 0.7311 0.3811 0.5438
O 0.7396 0.8145 0.3762
O 0.7428 0.2176 0.1498
O 0.7459 0.5863 0.9666

Calculated total energy   -120.39 eV per cell
Total moment   15.96 μB/cell


Li4MnCo2O7: relaxed, PBE+U.

a = 6.4473 Å, b = 6.4473 Å, c = 14.2965 Å
α = 109.52°, β = 109.52°, γ = 26.08°
Fractional coordinates of all 28 atoms:
Li 0.0000 0.0000 0.0000
Li 0.0086 0.0086 0.5126
Li 0.1415 0.1415 0.2113
Li 0.2996 0.2996 0.9397
Li 0.4293 0.4293 0.6508
Li 0.5787 0.5787 0.3582
Li 0.7069 0.7069 0.0651
Li 0.8581 0.8581 0.7947
Mn 0.5693 0.5693 0.8610
Mn 0.8620 0.8620 0.2910
Co 0.1462 0.1462 0.7183
Co 0.2891 0.2891 0.4352
Co 0.4407 0.4407 0.1359
Co 0.7198 0.7198 0.5791
O 0.0145 0.0145 0.7595
O 0.1371 0.1371 0.9495
O 0.1583 0.1583 0.4741
O 0.2779 0.2779 0.6782
O 0.3021 0.3021 0.2002
O 0.4202 0.4202 0.3916
O 0.4404 0.4404 0.8890
O 0.5733 0.5733 0.1146
O 0.5892 0.5892 0.6203
O 0.7008 0.7008 0.8117
O 0.7307 0.7307 0.3334
O 0.8516 0.8516 0.5384
O 0.8588 0.8588 0.0465
O 0.9924 0.9924 0.2562

Excess energy over the best structure of this formula in the dataset   98 meV/atom
Total moment   6.02 μB/cell


Li5MnCo2O8: relaxed, PBE+U.

a = 4.9134 Å, b = 5.7233 Å, c = 5.0352 Å
α = 90.00°, β = 109.30°, γ = 90.00°
Fractional coordinates of all 16 atoms:
Li 0.0000 0.0000 0.0000
Li 0.0000 0.2355 0.5000
Li 0.0000 0.7645 0.5000
Li 0.5000 0.0000 0.5000
Li 0.5000 0.5000 0.5000
Mn 0.0000 0.5000 0.0000
Co 0.5000 0.2445 0.0000
Co 0.5000 0.7555 0.0000
O 0.2502 0.2623 0.2237
O 0.2502 0.7377 0.2237
O 0.2586 0.5000 0.7814
O 0.2844 0.0000 0.7767
O 0.7156 0.0000 0.2233
O 0.7414 0.5000 0.2186
O 0.7498 0.2623 0.7763
O 0.7498 0.7377 0.7763

Excess energy over the best structure of this formula in the dataset   5 meV/atom
Total moment   4.01 μB/cell


Li4MnCo2O7: relaxed, PBE+U.

a = 6.5905 Å, b = 6.5905 Å, c = 14.4861 Å
α = 111.13°, β = 111.13°, γ = 25.38°
Fractional coordinates of all 28 atoms:
Li 0.0000 0.0000 0.0000
Li 0.0000 0.0000 0.5000
Li 0.1394 0.1394 0.2112
Li 0.2934 0.2934 0.9278
Li 0.4269 0.4269 0.6392
Li 0.5731 0.5731 0.3608
Li 0.7066 0.7066 0.0722
Li 0.8606 0.8606 0.7888
Mn 0.4314 0.4314 0.1389
Mn 0.5686 0.5686 0.8611
Co 0.1448 0.1448 0.7154
Co 0.2863 0.2863 0.4285
Co 0.7137 0.7137 0.5715
Co 0.8552 0.8552 0.2846
O 0.0111 0.0111 0.7620
O 0.1359 0.1359 0.9522
O 0.1490 0.1490 0.4704
O 0.2786 0.2786 0.6712
O 0.2956 0.2956 0.1804
O 0.4228 0.4228 0.3862
O 0.4393 0.4393 0.8882
O 0.5607 0.5607 0.1118
O 0.5772 0.5772 0.6138
O 0.7044 0.7044 0.8196
O 0.7214 0.7214 0.3288
O 0.8510 0.8510 0.5296
O 0.8641 0.8641 0.0478
O 0.9889 0.9889 0.2380

Excess energy over the best structure of this formula in the dataset   73 meV/atom
Total moment   10.04 μB/cell


Li2Mn3CoO8: relaxed, PBE+U.

a = 5.8914 Å, b = 5.9059 Å, c = 10.1076 Å
α = 74.67°, β = 73.70°, γ = 60.62°
Fractional coordinates of all 28 atoms:
Li 0.0449 0.0711 0.3086
Li 0.4423 0.4193 0.1916
Li 0.5577 0.5807 0.8084
Li 0.9551 0.9289 0.6914
Mn 0.0000 0.0000 0.0000
Mn 0.0000 0.5000 0.0000
Mn 0.2531 0.2605 0.7494
Mn 0.5000 0.0000 0.5000
Mn 0.5000 0.5000 0.5000
Mn 0.7469 0.7395 0.2506
Co 0.0000 0.5000 0.5000
Co 0.5000 0.0000 0.0000
O 0.0871 0.6176 0.1317
O 0.1195 0.1444 0.1024
O 0.1637 0.1305 0.6258
O 0.1651 0.5881 0.6248
O 0.3498 0.3708 0.8829
O 0.3579 0.9262 0.8760
O 0.3871 0.3528 0.3959
O 0.4018 0.8508 0.3835
O 0.5982 0.1492 0.6165
O 0.6129 0.6472 0.6041
O 0.6421 0.0738 0.1240
O 0.6502 0.6292 0.1171
O 0.8349 0.4119 0.3752
O 0.8363 0.8695 0.3742
O 0.8805 0.8556 0.8976
O 0.9129 0.3824 0.8683

Excess energy over the best structure of this formula in the dataset   14 meV/atom
Total moment   24.00 μB/cell


Li4MnCo2O7: relaxed, PBE+U.

a = 2.8742 Å, b = 5.1620 Å, c = 16.8570 Å
α = 86.39°, β = 85.34°, γ = 89.90°
Fractional coordinates of all 28 atoms:
Li 0.0000 0.0000 0.0000
Li 0.0631 0.3482 0.8663
Li 0.2091 0.0854 0.5824
Li 0.3630 0.8024 0.2859
Li 0.4964 0.4953 0.0076
Li 0.6337 0.2329 0.7201
Li 0.7946 0.9416 0.4390
Li 0.9350 0.6215 0.1382
Mn 0.5653 0.8585 0.8625
Mn 0.8608 0.2899 0.2908
Co 0.1339 0.7250 0.7193
Co 0.2867 0.4418 0.4372
Co 0.4358 0.1067 0.1340
Co 0.7162 0.5969 0.5787
O 0.0376 0.6886 0.9218
O 0.0989 0.0038 0.7913
O 0.1666 0.4338 0.6493
O 0.2664 0.7602 0.5073
O 0.3301 0.1279 0.3560
O 0.3882 0.4598 0.2321
O 0.4612 0.8196 0.0816
O 0.5368 0.1432 0.9218
O 0.6032 0.5734 0.7840
O 0.6643 0.8872 0.6548
O 0.7585 0.2893 0.5015
O 0.8225 0.5747 0.3679
O 0.8936 0.0117 0.2223
O 0.9615 0.3045 0.0795

Excess energy over the best structure of this formula in the dataset   57 meV/atom
Total moment   15.67 μB/cell


Li4MnCo2O7: relaxed, PBE+U.

a = 10.5197 Å, b = 10.5197 Å, c = 5.0531 Å
α = 94.20°, β = 94.20°, γ = 152.71°
Fractional coordinates of all 28 atoms:
Li 0.0000 0.0000 0.0000
Li 0.0636 0.9364 0.5000
Li 0.2091 0.7909 0.5000
Li 0.3635 0.6365 0.5000
Li 0.5041 0.4959 0.5000
Li 0.6396 0.3604 0.5000
Li 0.7840 0.2160 0.5000
Li 0.9379 0.0621 0.5000
Mn 0.2861 0.7139 0.0000
Mn 0.8614 0.1386 0.0000
Co 0.1376 0.8624 0.0000
Co 0.4308 0.5692 0.0000
Co 0.5705 0.4295 0.0000
Co 0.7158 0.2842 0.0000
O 0.0280 0.4535 0.2184
O 0.1162 0.4027 0.7808
O 0.1669 0.3205 0.2231
O 0.2754 0.2815 0.7680
O 0.3294 0.1795 0.2266
O 0.4175 0.1183 0.7745
O 0.4604 0.0207 0.2196
O 0.5465 0.9720 0.7816
O 0.5973 0.8838 0.2192
O 0.6795 0.8331 0.7769
O 0.7185 0.7246 0.2320
O 0.8205 0.6706 0.7734
O 0.8817 0.5825 0.2255
O 0.9793 0.5396 0.7804

Excess energy over the best structure of this formula in the dataset   53 meV/atom
Total moment   11.97 μB/cell


Li7Mn4CoO12: relaxed, PBE+U.

a = 5.2185 Å, b = 2.8668 Å, c = 14.5683 Å
α = 90.00°, β = 92.16°, γ = 90.00°
Fractional coordinates of all 24 atoms:
Li 0.0000 0.0000 0.0000
Li 0.0051 0.0000 0.4980
Li 0.1211 0.5000 0.8494
Li 0.3486 0.0000 0.1591
Li 0.4795 0.5000 0.5006
Li 0.6379 0.0000 0.8415
Li 0.8891 0.5000 0.1477
Mn 0.3128 0.0000 0.6676
Mn 0.4987 0.5000 0.0014
Mn 0.6724 0.0000 0.3306
Mn 0.8134 0.5000 0.6663
Co 0.1711 0.5000 0.3318
O 0.0189 0.0000 0.2581
O 0.1741 0.5000 0.5872
O 0.2062 0.5000 0.0778
O 0.3237 0.0000 0.4068
O 0.3398 0.0000 0.9273
O 0.4595 0.5000 0.7423
O 0.4888 0.5000 0.2646
O 0.6578 0.0000 0.0765
O 0.6765 0.0000 0.5853
O 0.7896 0.5000 0.9241
O 0.8510 0.5000 0.4012
O 0.9574 0.0000 0.7435

Excess energy over the best structure of this formula in the dataset   62 meV/atom
Total moment   9.03 μB/cell